AsI2N: optimized geometry, PBE.

Unit cell a=6.332 b=6.332 c=11.651 alpha=90.00 beta=90.00 gamma=90.00
Space group I-42d (No. 122)
One atom of each set of equivalent atoms:
As (0.000, 0.000, 0.000) x4
I (0.118, 0.250, 0.625) x8
N (0.000, 0.000, 0.500) x4

crystal system = tetragonal
formation energy from raw total energies = 1.41 eV per atom
offset from the most stable computed form = 0.000 eV per atom

Tb6MgTl3: optimized geometry, PBE.

Unit cell a=9.409 b=5.393 c=11.768 alpha=90.00 beta=108.34 gamma=90.00
Space group P2_1/m (No. 11)
One atom of each set of equivalent atoms:
Tb (0.035, 0.250, 0.408) x2
Tb (0.161, 0.750, 0.182) x2
Tb (0.254, 0.250, 0.006) x2
Tb (0.346, 0.750, 0.805) x2
Tb (0.368, 0.250, 0.336) x2
Tb (0.404, 0.250, 0.619) x2
Mg (0.458, 0.750, 0.095) x2
Tl (0.037, 0.750, 0.888) x2
Tl (0.136, 0.250, 0.719) x2
Tl (0.274, 0.750, 0.473) x2

crystal system = monoclinic
energy of formation from the pure elements = -0.21 eV/atom

Tb3Pr2Tm8: optimized geometry, PBE.

Unit cell a=7.588 b=20.752 c=5.481 alpha=90.00 beta=90.00 gamma=90.00
Space group Cmmm (No. 65)
One atom of each set of equivalent atoms:
Tb (0.000, 0.000, 0.000) x2
Tb (0.211, 0.500, 0.500) x4
Pr (0.000, 0.240, 0.000) x4
Tm (0.000, 0.127, 0.500) x4
Tm (0.000, 0.340, 0.500) x4
Tm (0.213, 0.393, 0.000) x8

crystal system = orthorhombic
energy of formation from the pure elements = 0.25 eV/atom

RbHf2MgRe: optimized geometry, PBE.

Unit cell a=5.104 b=5.104 c=5.600 alpha=90.00 beta=90.00 gamma=90.00
Space group P4/mmm (No. 123)
One atom of each set of equivalent atoms:
Rb (0.000, 0.000, 0.000) x1
Hf (0.000, 0.500, 0.500) x2
Mg (0.500, 0.500, 0.000) x1
Re (0.500, 0.500, 0.500) x1

crystal system = tetragonal
energy of formation from the pure elements = 0.64 eV/atom

Going through the records in order, we get total magnetic moment values of 0.000, 0.000, 0.000, 0.000 μB/atom.
Going through the records in order, we get electronic total energy values of -2.605, -3.856, -4.305, -6.343 eV per atom.